(1)
Here is a relaxed CaPmGaSb crystal from the Alexandria database. Energies are from PBE.

- Energy relative to the elements, uncorrected: -0.587 eV per atom
- M_tot: 0.00 μB/f.u.

```
data_CaPmGaSb
_symmetry_space_group_name_H-M 'F -4 3 m'
_symmetry_Int_Tables_number 216
_symmetry_space_group_name_Hall 'F -4 2 3'
_cell_length_a 7.565
_cell_length_b 7.565
_cell_length_c 7.565
_cell_angle_alpha 90.00
_cell_angle_beta 90.00
_cell_angle_gamma 90.00
loop_
_atom_site_label
_atom_site_fract_x
_atom_site_fract_y
_atom_site_fract_z
Ca1 0.000 0.000 0.000
Pm1 0.000 0.000 0.500
Ga1 0.250 0.250 0.250
Sb1 0.250 0.250 0.750
```

=====

(2)
Here is a relaxed CaPmSmGa crystal from the Alexandria database. Energies are from PBE.

- Formation energy from the elements: -0.1232 eV per atom
- M_tot: 0.00 μB/f.u.

```
data_CaPmSmGa
_symmetry_space_group_name_H-M 'F -4 3 m'
_symmetry_Int_Tables_number 216
_symmetry_space_group_name_Hall 'F -4 2 3'
_cell_length_a 7.696
_cell_length_b 7.696
_cell_length_c 7.696
_cell_angle_alpha 90.00
_cell_angle_beta 90.00
_cell_angle_gamma 90.00
loop_
_atom_site_label
_atom_site_fract_x
_atom_site_fract_y
_atom_site_fract_z
Ca1 0.000 0.000 0.000
Pm1 0.250 0.250 0.750
Sm1 0.250 0.250 0.250
Ga1 0.000 0.000 0.500
```

=====

(3)
Here is a relaxed CaPmGaSn crystal from the Alexandria database. Energies are from PBE.

- Formation energy from the elements: -0.5330 eV per atom
- M_tot: 0.00 μB/f.u.

```
data_CaPmGaSn
_symmetry_space_group_name_H-M 'F -4 3 m'
_symmetry_Int_Tables_number 216
_symmetry_space_group_name_Hall 'F -4 2 3'
_cell_length_a 7.543
_cell_length_b 7.543
_cell_length_c 7.543
_cell_angle_alpha 90.00
_cell_angle_beta 90.00
_cell_angle_gamma 90.00
loop_
_atom_site_label
_atom_site_fract_x
_atom_site_fract_y
_atom_site_fract_z
Ca1 0.000 0.000 0.000
Pm1 0.000 0.000 0.500
Ga1 0.250 0.250 0.750
Sn1 0.250 0.250 0.250
```

=====

(4)
Here is a relaxed CaPmTlGa crystal from the Alexandria database. Energies are from PBE.

- Formation energy from the elements: -0.4565 eV per atom
- M_tot: 0.00 μB/f.u.
- Energy above the most stable polymorph in this dataset: 0 meV per atom

```
data_CaPmTlGa
_symmetry_space_group_name_H-M 'P 4 m m'
_symmetry_Int_Tables_number 99
_cell_length_a 3.756
_cell_length_b 3.756
_cell_length_c 7.648
_cell_angle_alpha 90.00
_cell_angle_beta 90.00
_cell_angle_gamma 90.00
loop_
_symmetry_equiv_pos_as_xyz
'x,y,z'
'-y,x,z'
'-x,-y,z'
'y,-x,z'
'-x,y,z'
'y,x,z'
'x,-y,z'
'-y,-x,z'
loop_
_atom_site_label
_atom_site_fract_x
_atom_site_fract_y
_atom_site_fract_z
Ca1 0.000 0.000 0.000
Pm1 0.000 0.000 0.468
Tl1 0.500 0.500 0.739
Ga1 0.500 0.500 0.237
```

=====

(5)
Here is a relaxed CaPmTlGa crystal from the Alexandria database. Energies are from PBE.

- Formation energy from the elements: -0.4194 eV per atom
- M_tot: 0.00 μB/f.u.
- Energy above the most stable polymorph in this dataset: 37 meV per atom

```
data_CaPmTlGa
_symmetry_space_group_name_H-M 'F -4 3 m'
_symmetry_Int_Tables_number 216
_symmetry_space_group_name_Hall 'F -4 2 3'
_cell_length_a 7.572
_cell_length_b 7.572
_cell_length_c 7.572
_cell_angle_alpha 90.00
_cell_angle_beta 90.00
_cell_angle_gamma 90.00
loop_
_atom_site_label
_atom_site_fract_x
_atom_site_fract_y
_atom_site_fract_z
Ca1 0.000 0.000 0.000
Pm1 0.000 0.000 0.500
Tl1 0.250 0.250 0.250
Ga1 0.250 0.250 0.750
```

=====

(6)
Here is a relaxed Ca2PmZn2Ga2 crystal from the Alexandria database. Energies are from PBE.

- Formation energy from the elements: -0.4165 eV per atom
- M_tot: 0.00 μB/f.u.

```
data_Ca2PmZn2Ga2
_symmetry_space_group_name_H-M 'R -3 m'
_symmetry_Int_Tables_number 166
_symmetry_space_group_name_Hall '-R 3 2"'
_cell_length_a 4.4623
_cell_length_b 4.4623
_cell_length_c 31.1527
_cell_angle_alpha 90.00
_cell_angle_beta 90.00
_cell_angle_gamma 120.00
loop_
_atom_site_label
_atom_site_fract_x
_atom_site_fract_y
_atom_site_fract_z
Ca1 0.0000 0.0000 0.1191
Pm1 0.0000 0.0000 0.0000
Zn1 0.0000 0.0000 0.3908
Ga1 0.0000 0.0000 0.2736
```

=====

(7)
Here is a relaxed CaPm2Zn2Ga2 crystal from the Alexandria database. Energies are from PBE.

- Formation energy from the elements: -0.3855 eV per atom
- M_tot: 0.00 μB/f.u.

```
data_CaPm2Zn2Ga2
_symmetry_space_group_name_H-M 'R -3 m'
_symmetry_Int_Tables_number 166
_symmetry_space_group_name_Hall '-R 3 2"'
_cell_length_a 4.5201
_cell_length_b 4.5201
_cell_length_c 28.6785
_cell_angle_alpha 90.00
_cell_angle_beta 90.00
_cell_angle_gamma 120.00
loop_
_atom_site_label
_atom_site_fract_x
_atom_site_fract_y
_atom_site_fract_z
Ca1 0.0000 0.0000 0.0000
Pm1 0.0000 0.0000 0.1265
Zn1 0.0000 0.0000 0.4025
Ga1 0.0000 0.0000 0.2594
```

=====

(8)
Here is a relaxed CaPmZnGa crystal from the Alexandria database. Energies are from PBE.

- Formation energy from the elements: -0.4255 eV per atom
- M_tot: 0.00 μB/f.u.

```
data_CaPmZnGa
_symmetry_space_group_name_H-M 'F -4 3 m'
_symmetry_Int_Tables_number 216
_symmetry_space_group_name_Hall 'F -4 2 3'
_cell_length_a 7.334
_cell_length_b 7.334
_cell_length_c 7.334
_cell_angle_alpha 90.00
_cell_angle_beta 90.00
_cell_angle_gamma 90.00
loop_
_atom_site_label
_atom_site_fract_x
_atom_site_fract_y
_atom_site_fract_z
Ca1 0.000 0.000 0.000
Pm1 0.000 0.000 0.500
Zn1 0.250 0.250 0.750
Ga1 0.250 0.250 0.250
```

=====

(9)
Here is a relaxed CaPmZn2Ga2 crystal from the Alexandria database. Energies are from PBE.

- Formation energy from the elements: -0.4989 eV per atom
- M_tot: 0.00 μB/f.u.

```
data_CaPmZn2Ga2
_symmetry_space_group_name_H-M 'P -3 m 1'
_symmetry_Int_Tables_number 164
_symmetry_space_group_name_Hall '-P 3 2"'
_cell_length_a 4.4917
_cell_length_b 4.4917
_cell_length_c 7.4701
_cell_angle_alpha 90.00
_cell_angle_beta 90.00
_cell_angle_gamma 120.00
loop_
_atom_site_label
_atom_site_fract_x
_atom_site_fract_y
_atom_site_fract_z
Ca1 0.0000 0.0000 0.0000
Pm1 0.0000 0.0000 0.5000
Zn1 0.3333 0.6667 0.2576
Ga1 0.3333 0.6667 0.7356
```

=====

(10)
Here is a relaxed Ca2PrGa6 crystal from the Alexandria database. Energies are from PBE.

- Formation energy from the elements: -0.5471 eV per atom
- M_tot: 0.00 μB/f.u.

```
data_Ca2PrGa6
_symmetry_space_group_name_H-M 'P 6/m m m'
_symmetry_Int_Tables_number 191
_symmetry_space_group_name_Hall '-P 6 2'
_cell_length_a 7.4741
_cell_length_b 7.4741
_cell_length_c 4.2972
_cell_angle_alpha 90.00
_cell_angle_beta 90.00
_cell_angle_gamma 120.00
loop_
_atom_site_label
_atom_site_fract_x
_atom_site_fract_y
_atom_site_fract_z
Ca1 0.3333 0.6667 0.0000
Pr1 0.0000 0.0000 0.0000
Ga1 0.0000 0.3332 0.5000
```

=====

(11)
Here is a relaxed Ca4PrGa4 crystal from the Alexandria database. Energies are from PBE.

- Formation energy from the elements: -0.2628 eV per atom
- M_tot: 0.00 μB/f.u.

```
data_Ca4PrGa4
_symmetry_space_group_name_H-M 'P 42/n'
_symmetry_Int_Tables_number 86
_cell_length_a 9.468
_cell_length_b 9.468
_cell_length_c 6.171
_cell_angle_alpha 90.00
_cell_angle_beta 90.00
_cell_angle_gamma 90.00
loop_
_symmetry_equiv_pos_as_xyz
'x,y,z'
'-x,-y,-z'
'-y,x+1/2,z+1/2'
'y,-x+1/2,-z+1/2'
'-x+1/2,-y+1/2,z'
'x+1/2,y+1/2,-z'
'y+1/2,-x,z+1/2'
'-y+1/2,x,-z+1/2'
loop_
_atom_site_label
_atom_site_fract_x
_atom_site_fract_y
_atom_site_fract_z
Ca1 0.071 0.660 0.124
Pr1 0.250 0.250 0.250
Ga1 0.019 0.609 0.616
```

=====

(12)
Here is a relaxed CaPrGa3 crystal from the Alexandria database. Energies are from PBE.

- Formation energy from the elements: -0.6013 eV per atom
- M_tot: 0.00 μB/f.u.

```
data_CaPrGa3
_symmetry_space_group_name_H-M 'C m c m'
_symmetry_Int_Tables_number 63
_symmetry_space_group_name_Hall '-C 2c 2'
_cell_length_a 4.308
_cell_length_b 26.408
_cell_length_c 4.299
_cell_angle_alpha 90.00
_cell_angle_beta 90.00
_cell_angle_gamma 90.00
loop_
_atom_site_label
_atom_site_fract_x
_atom_site_fract_y
_atom_site_fract_z
Ca1 0.000 0.205 0.250
Pr1 0.000 0.071 0.750
Ga1 0.000 0.329 0.250
Ga2 0.000 0.382 0.750
Ga3 0.000 0.476 0.750
```